Below is TbY2Zn9 after structural relaxation, with properties calculated at the PBE-GGA level.

a = 5.447 Å, b = 5.447 Å, c = 9.140 Å
α = 72.66°, β = 72.66°, γ = 60.00°
Fractional positions:
1 Tb 0.000 0.000 0.000
2 Y 0.860 0.860 0.419
3 Y 0.140 0.140 0.581
4 Zn 0.665 0.665 0.005
5 Zn 0.335 0.335 0.995
6 Zn 0.500 0.500 0.500
7 Zn 0.415 0.415 0.247
8 Zn 0.924 0.415 0.247
9 Zn 0.415 0.924 0.247
10 Zn 0.585 0.585 0.753
11 Zn 0.585 0.076 0.753
12 Zn 0.076 0.585 0.753

Summary:
The crystal system is trigonal. The value obtained for the density of states at the Fermi level is 0.548 states/eV per atom. The calculation puts the total moment at 0.00 μB/f.u. For the calculated formation energy, the calculation gives -0.324 eV/atom. Its space group is No. 166. As for the uncorrected energy: -2.74 eV/atom.

---

Below is Tb4YZn4 after structural relaxation, with properties calculated at the PBE-GGA level.

a = 6.149 Å, b = 8.779 Å, c = 8.779 Å
α = 90.00°, β = 90.00°, γ = 90.00°
Fractional positions:
1 Tb 0.400 0.284 0.907
2 Tb 0.900 0.593 0.784
3 Tb 0.400 0.716 0.093
4 Tb 0.100 0.216 0.593
5 Tb 0.600 0.907 0.716
6 Tb 0.100 0.784 0.407
7 Tb 0.900 0.407 0.216
8 Tb 0.600 0.093 0.284
9 Y 0.000 0.000 0.000
10 Y 0.500 0.500 0.500
11 Zn 0.633 0.779 0.382
12 Zn 0.633 0.221 0.618
13 Zn 0.133 0.882 0.721
14 Zn 0.867 0.279 0.882
15 Zn 0.867 0.721 0.118
16 Zn 0.367 0.382 0.221
17 Zn 0.367 0.618 0.779
18 Zn 0.133 0.118 0.279

Summary:
The crystal system is tetragonal. The value obtained for the density of states at the Fermi level is 1.101 states/eV per atom. The calculation puts the total moment at 0.00 μB/f.u. For the calculated formation energy, the calculation gives -0.073 eV/atom. Its space group is No. 86. As for the uncorrected energy: -3.42 eV/atom.

---

Q: calculated formation energy of number 1 (TbY2Zn9)?
A: -0.324 eV/atom

---

Q: What is the formula in the second record?
A: Tb4YZn4